1.
Computed, not measured: a geometry-optimized CuPbO2F structure at the PBE-GGA level of DFT.

a b c (Å): 4.184 4.184 4.335
angles (deg): 90.00 90.00 90.00
Each line ends with the local moment (μB).
Positions (direct):
F 0.000 0.000 0.500  0.00
O 0.000 0.500 0.000  0.04
Pb 0.000 0.000 0.000  0.00
Cu 0.500 0.500 0.500  0.16
O 0.500 0.000 0.000  0.04

Output
The calculation puts the mass density at 7.04 Mg/m³. The calculation puts the total magnetization at 0.2 Bohr magnetons per cell. For the total DFT energy (no corrections), the calculation gives -4.342 eV/atom. For the uncorrected formation energy, the calculation gives -0.42 eV/atom.

---

2.
Computed, not measured: a geometry-optimized CuPdO2F structure at the PBE-GGA level of DFT.

a b c (Å): 3.864 3.864 3.722
angles (deg): 90.00 90.00 90.00
Positions (direct):
Pd 0.500 0.500 0.500
F 0.000 0.000 0.500
Cu 0.000 0.000 0.000
O 0.000 0.500 0.000
O 0.500 0.000 0.000

Output
The calculation puts the mass density at 6.60 Mg/m³. The calculation puts the total magnetization at 0.0 Bohr magnetons per cell. For the total DFT energy (no corrections), the calculation gives -4.319 eV/atom. For the uncorrected formation energy, the calculation gives -0.10 eV/atom.

---

3.
Computed, not measured: a geometry-optimized CuPdO2F structure at the PBE-GGA level of DFT.

a b c (Å): 3.934 3.934 4.161
angles (deg): 90.00 90.00 90.00
Positions (direct):
Cu 0.500 0.500 0.500
O 0.500 0.000 0.000
Pd 0.000 0.000 0.000
F 0.000 0.000 0.500
O 0.000 0.500 0.000

Output
The calculation puts the mass density at 5.70 Mg/m³. The calculation puts the total magnetization at 0.0 Bohr magnetons per cell. For the total DFT energy (no corrections), the calculation gives -4.238 eV/atom. For the uncorrected formation energy, the calculation gives -0.02 eV/atom.

---

4.
Computed, not measured: a geometry-optimized CuPtOF2 structure at the PBE-GGA level of DFT.

a b c (Å): 4.383 4.383 3.792
angles (deg): 90.00 90.00 90.00
Positions (direct):
Pt 0.000 0.000 0.000
Cu 0.500 0.500 0.500
F 0.000 0.500 0.000
O 0.000 0.000 0.500
F 0.500 0.000 0.000

Output
The calculation puts the mass density at 7.12 Mg/m³. The calculation puts the total magnetization at 0.0 Bohr magnetons per cell. Its energy above the most stable polymorph in this dataset is 0.0000 eV per atom. For the total DFT energy (no corrections), the calculation gives -4.073 eV/atom. For the uncorrected formation energy, the calculation gives -0.31 eV/atom.

---

5.
Computed, not measured: a geometry-optimized CuPtOF2 structure at the PBE-GGA level of DFT.

a b c (Å): 3.714 3.714 4.404
angles (deg): 90.00 90.00 90.00
Each line ends with the local moment (μB).
Positions (direct):
Pt 0.500 0.500 0.500  -0.62
Cu 0.000 0.000 0.000  0.02
F 0.000 0.500 0.000  -0.02
F 0.500 0.000 0.000  -0.02
O 0.000 0.000 0.500  -0.06

Output
The calculation puts the mass density at 8.55 Mg/m³. The calculation puts the total magnetization at 0.7 Bohr magnetons per cell. Its energy above the most stable polymorph in this dataset is 0.1177 eV per atom. For the total DFT energy (no corrections), the calculation gives -3.956 eV/atom. For the uncorrected formation energy, the calculation gives -0.19 eV/atom.

---

6.
Computed, not measured: a geometry-optimized PuCu3O2F6 structure at the PBE-GGA level of DFT.

a b c (Å): 5.617 6.072 8.244
angles (deg): 111.61 131.98 90.00
Each line ends with the local moment (μB).
Positions (direct):
F 0.891 0.321 0.159  -0.06
Pu 0.500 0.000 0.000  4.04
F 0.585 0.161 0.322  -0.07
F 0.891 0.838 0.159  -0.06
F 0.109 0.679 0.841  -0.06
Cu 0.500 0.500 0.500  -0.59
F 0.415 0.839 0.678  -0.07
Cu 0.000 0.500 0.000  -0.60
Cu 0.500 0.000 0.500  -0.59
F 0.109 0.162 0.841  -0.06
O 0.430 0.665 0.330  -0.33
O 0.570 0.335 0.670  -0.33

Output
The calculation puts the mass density at 5.31 Mg/m³. The calculation puts the total magnetization at 1.0 Bohr magnetons per cell. For the total DFT energy (no corrections), the calculation gives -5.925 eV/atom. For the uncorrected formation energy, the calculation gives -1.95 eV/atom.

---

7.
Computed, not measured: a geometry-optimized PuCuO4F structure at the PBE-GGA level of DFT.

a b c (Å): 6.476 5.212 8.415
angles (deg): 90.00 128.98 90.00
Each line ends with the local moment (μB).
Positions (direct):
O 0.489 0.750 0.244  -0.24
F 0.061 0.250 0.999  -0.04
O 0.979 0.488 0.644  -0.01
O 0.511 0.250 0.756  -0.24
Pu 0.742 0.250 0.695  2.42
F 0.939 0.750 0.001  -0.04
Pu 0.258 0.750 0.305  2.42
O 0.549 0.750 0.592  -0.18
O 0.979 0.012 0.644  -0.01
O 0.021 0.512 0.356  -0.01
O 0.021 0.988 0.356  -0.01
Cu 0.943 0.750 0.476  0.12
Cu 0.057 0.250 0.524  0.12
O 0.451 0.250 0.408  -0.18

Output
The calculation puts the mass density at 5.87 Mg/m³. The calculation puts the total magnetization at 4.1 Bohr magnetons per cell. For the total DFT energy (no corrections), the calculation gives -7.381 eV/atom. For the uncorrected formation energy, the calculation gives -1.65 eV/atom.

---

8.
Computed, not measured: a geometry-optimized RbCuOF2 structure at the PBE-GGA level of DFT.

a b c (Å): 4.900 4.900 4.462
angles (deg): 90.00 90.00 90.00
Each line ends with the local moment (μB).
Positions (direct):
O 0.000 0.000 0.500  -0.36
Cu 0.500 0.500 0.500  -0.08
F 0.500 0.000 0.000  -0.14
Rb 0.000 0.000 0.000  -0.05
F 0.000 0.500 0.000  -0.14

Output
The calculation puts the mass density at 3.15 Mg/m³. The calculation puts the total magnetization at 0.9 Bohr magnetons per cell. Its energy above the most stable polymorph in this dataset is 1.4936 eV per atom. For the total DFT energy (no corrections), the calculation gives -2.770 eV/atom. For the uncorrected formation energy, the calculation gives -0.02 eV/atom.

---

9.
Computed, not measured: a geometry-optimized RbCuOF2 structure at the PBE-GGA level of DFT.

a b c (Å): 4.382 4.382 3.659
angles (deg): 90.00 90.00 90.00
Each line ends with the local moment (μB).
Positions (direct):
F 0.500 0.000 0.000  0.04
Rb 0.500 0.500 0.500  0.00
F 0.000 0.500 0.000  0.04
Cu 0.000 0.000 0.000  0.42
O 0.000 0.000 0.500  0.54

Output
The calculation puts the mass density at 4.80 Mg/m³. The calculation puts the total magnetization at 1.1 Bohr magnetons per cell. Its energy above the most stable polymorph in this dataset is 0.0000 eV per atom. For the total DFT energy (no corrections), the calculation gives -4.263 eV/atom. For the uncorrected formation energy, the calculation gives -1.51 eV/atom.

---

10.
Computed, not measured: a geometry-optimized CuReO2F structure at the PBE-GGA level of DFT.

a b c (Å): 3.915 3.915 3.743
angles (deg): 90.00 90.00 90.00
Each line ends with the local moment (μB).
Positions (direct):
O 0.500 0.000 0.000  0.01
F 0.000 0.000 0.500  0.08
Cu 0.000 0.000 0.000  -0.01
O 0.000 0.500 0.000  0.01
Re 0.500 0.500 0.500  3.72

Output
The calculation puts the mass density at 8.71 Mg/m³. The calculation puts the total magnetization at 4.3 Bohr magnetons per cell. For the total DFT energy (no corrections), the calculation gives -5.416 eV/atom. For the uncorrected formation energy, the calculation gives 0.25 eV/atom.

---

11.
Computed, not measured: a geometry-optimized CuReO2F structure at the PBE-GGA level of DFT.

a b c (Å): 3.808 3.808 4.395
angles (deg): 90.00 90.00 90.00
Positions (direct):
Cu 0.500 0.500 0.500
O 0.000 0.500 0.000
F 0.000 0.000 0.500
Re 0.000 0.000 0.000
O 0.500 0.000 0.000

Output
The calculation puts the mass density at 7.84 Mg/m³. The calculation puts the total magnetization at 0.0 Bohr magnetons per cell. For the total DFT energy (no corrections), the calculation gives -6.462 eV/atom. For the uncorrected formation energy, the calculation gives -0.80 eV/atom.

---

12.
Computed, not measured: a geometry-optimized CuRuO4F structure at the PBE-GGA level of DFT.

a b c (Å): 5.525 6.816 6.023
angles (deg): 90.00 105.18 90.00
Positions (direct):
Cu 0.235 0.250 0.316
Ru 0.255 0.750 0.214
O 0.851 0.030 0.690
O 0.717 0.250 0.064
F 0.848 0.750 0.013
O 0.574 0.750 0.379
Cu 0.765 0.750 0.684
O 0.283 0.750 0.936
Ru 0.745 0.250 0.786
O 0.851 0.470 0.690
F 0.152 0.250 0.987
O 0.426 0.250 0.621
O 0.149 0.970 0.310
O 0.149 0.530 0.310

Output
The calculation puts the mass density at 3.76 Mg/m³. The calculation puts the total magnetization at 0.0 Bohr magnetons per cell. For the total DFT energy (no corrections), the calculation gives -5.799 eV/atom. For the uncorrected formation energy, the calculation gives -0.79 eV/atom.